*1*
The following is a DFT calculation (PBE-GGA) of a geometry-optimized MgTl2Pt structure.

Geometry as CIF:
```
data_MgTl2Pt
_space_group_name_H-M_alt 'P m m m'
_space_group_IT_number 47
_cell_length_a 3.659
_cell_length_b 3.769
_cell_length_c 6.344
_cell_angle_alpha 90.00
_cell_angle_beta 90.00
_cell_angle_gamma 90.00
loop_
_space_group_symop_operation_xyz
'x,y,z'
'-x,-y,-z'
'-x,-y,z'
'x,y,-z'
'x,-y,-z'
'-x,y,z'
'-x,y,-z'
'x,-y,z'
loop_
_atom_site_label
_atom_site_type_symbol
_atom_site_fract_x
_atom_site_fract_y
_atom_site_fract_z
Mg1 Mg 0.000 0.000 0.000
Tl1 Tl 0.500 0.500 0.264
Pt1 Pt 0.000 0.000 0.500
```


*2*
The following is a DFT calculation (PBE-GGA) of a geometry-optimized MgTl2Pt structure.

Geometry as CIF:
```
data_MgTl2Pt
_space_group_name_H-M_alt 'I -4 2 d'
_space_group_IT_number 122
_space_group_name_Hall 'I -4 2bw'
_cell_length_a 9.299
_cell_length_b 9.299
_cell_length_c 5.214
_cell_angle_alpha 90.00
_cell_angle_beta 90.00
_cell_angle_gamma 90.00
loop_
_atom_site_label
_atom_site_type_symbol
_atom_site_fract_x
_atom_site_fract_y
_atom_site_fract_z
Mg1 Mg 0.000 0.000 0.000
Tl1 Tl 0.145 0.750 0.625
Pt1 Pt 0.000 0.000 0.500
```


*3*
The following is a DFT calculation (PBE-GGA) of a geometry-optimized MgTl2Pt structure.

Geometry as CIF:
```
data_MgTl2Pt
_space_group_name_H-M_alt 'F -4 3 m'
_space_group_IT_number 216
_space_group_name_Hall 'F -4 2 3'
_cell_length_a 7.081
_cell_length_b 7.081
_cell_length_c 7.081
_cell_angle_alpha 90.00
_cell_angle_beta 90.00
_cell_angle_gamma 90.00
loop_
_atom_site_label
_atom_site_type_symbol
_atom_site_fract_x
_atom_site_fract_y
_atom_site_fract_z
Mg1 Mg 0.000 0.000 0.000
Tl1 Tl 0.000 0.000 0.500
Tl2 Tl 0.250 0.250 0.250
Pt1 Pt 0.250 0.250 0.750
```


Which structure is most stable, and how do the rest compare? From most to least stable: *2*, *3*, *1*.